a:
A plane-wave DFT calculation with PBE-GGA was carried out for a relaxed structure of TaVW.

CIF file:
```
data_TaVW
_chemical_formula_sum 'Ta1 V1 W1'
_space_group_name_H-M_alt 'P 1'
_space_group_IT_number 1
_space_group_name_Hall 'P 1'
_cell_length_a 4.455
_cell_length_b 4.455
_cell_length_c 2.793
_cell_angle_alpha 90.00
_cell_angle_beta 90.00
_cell_angle_gamma 120.00
loop_
_atom_site_label
_atom_site_type_symbol
_atom_site_fract_x
_atom_site_fract_y
_atom_site_fract_z
Ta1 Ta 0.000 0.000 0.000
V1 V 0.333 0.667 0.650
W1 W 0.667 0.333 0.342
```

=====

b:
A plane-wave DFT calculation with PBE-GGA was carried out for a relaxed structure of TaVW.

CIF file:
```
data_TaVW
_chemical_formula_sum 'Ta2 V2 W2'
_space_group_name_H-M_alt 'P 1'
_space_group_IT_number 1
_space_group_name_Hall 'P 1'
_cell_length_a 4.137
_cell_length_b 4.137
_cell_length_c 8.431
_cell_angle_alpha 90.00
_cell_angle_beta 90.00
_cell_angle_gamma 120.00
loop_
_atom_site_label
_atom_site_type_symbol
_atom_site_fract_x
_atom_site_fract_y
_atom_site_fract_z
Ta1 Ta 0.000 0.000 0.169
Ta2 Ta 0.000 0.000 0.831
V1 V 0.333 0.667 0.613
V2 V 0.667 0.333 0.387
W1 W 0.333 0.667 0.303
W2 W 0.667 0.333 0.697
```

=====

c:
A plane-wave DFT calculation with PBE-GGA was carried out for a relaxed structure of TaVW.

CIF file:
```
data_TaVW
_chemical_formula_sum 'Ta2 V2 W2'
_space_group_name_H-M_alt 'P 1'
_space_group_IT_number 1
_space_group_name_Hall 'P 1'
_cell_length_a 2.783
_cell_length_b 2.783
_cell_length_c 13.167
_cell_angle_alpha 90.00
_cell_angle_beta 90.00
_cell_angle_gamma 109.84
loop_
_atom_site_label
_atom_site_type_symbol
_atom_site_fract_x
_atom_site_fract_y
_atom_site_fract_z
Ta1 Ta 0.250 0.750 0.907
Ta2 Ta 0.750 0.250 0.093
V1 V 0.250 0.750 0.574
V2 V 0.750 0.250 0.426
W1 W 0.250 0.750 0.268
W2 W 0.750 0.250 0.732
```

=====

Energies in kJ/mol of atoms, measured from the most stable structure: a 0.0; b 118.5; c 1.5.

=====

a:
A plane-wave DFT calculation with PBE-GGA was carried out for a relaxed structure of TaVW3.

CIF file:
```
data_TaVW3
_chemical_formula_sum 'Ta2 V2 W6'
_space_group_name_H-M_alt 'P 1'
_space_group_IT_number 1
_space_group_name_Hall 'P 1'
_cell_length_a 8.218
_cell_length_b 8.218
_cell_length_c 4.491
_cell_angle_alpha 90.00
_cell_angle_beta 90.00
_cell_angle_gamma 148.30
loop_
_atom_site_label
_atom_site_type_symbol
_atom_site_fract_x
_atom_site_fract_y
_atom_site_fract_z
Ta1 Ta 0.052 0.948 0.750
Ta2 Ta 0.948 0.052 0.250
V1 V 0.249 0.751 0.750
V2 V 0.751 0.249 0.250
W1 W 0.153 0.847 0.250
W2 W 0.346 0.654 0.250
W3 W 0.447 0.553 0.750
W4 W 0.553 0.447 0.250
W5 W 0.654 0.346 0.750
W6 W 0.847 0.153 0.750
```

=====

b:
A plane-wave DFT calculation with PBE-GGA was carried out for a relaxed structure of TaVW3.

CIF file:
```
data_TaVW3
_chemical_formula_sum 'Ta1 V1 W3'
_space_group_name_H-M_alt 'P 1'
_space_group_IT_number 1
_space_group_name_Hall 'P 1'
_cell_length_a 4.512
_cell_length_b 4.512
_cell_length_c 4.512
_cell_angle_alpha 90.00
_cell_angle_beta 90.00
_cell_angle_gamma 90.00
loop_
_atom_site_label
_atom_site_type_symbol
_atom_site_fract_x
_atom_site_fract_y
_atom_site_fract_z
Ta1 Ta 0.000 0.000 0.000
V1 V 0.500 0.500 0.500
W1 W 0.000 0.500 0.500
W2 W 0.500 0.000 0.500
W3 W 0.500 0.500 0.000
```

=====

c:
A plane-wave DFT calculation with PBE-GGA was carried out for a relaxed structure of TaVW3.

CIF file:
```
data_TaVW3
_chemical_formula_sum 'Ta2 V2 W6'
_space_group_name_H-M_alt 'P 1'
_space_group_IT_number 1
_space_group_name_Hall 'P 1'
_cell_length_a 6.763
_cell_length_b 6.763
_cell_length_c 6.763
_cell_angle_alpha 135.57
_cell_angle_beta 72.47
_cell_angle_gamma 125.96
loop_
_atom_site_label
_atom_site_type_symbol
_atom_site_fract_x
_atom_site_fract_y
_atom_site_fract_z
Ta1 Ta 0.000 0.000 0.000
Ta2 Ta 0.500 0.000 0.500
V1 V 0.354 0.104 0.250
V2 V 0.646 0.896 0.750
W1 W 0.000 0.000 0.500
W2 W 0.000 0.500 0.000
W3 W 0.189 0.578 0.611
W4 W 0.468 0.578 0.889
W5 W 0.532 0.422 0.111
W6 W 0.811 0.422 0.389
```

=====

d:
A plane-wave DFT calculation with PBE-GGA was carried out for a relaxed structure of TaVW3.

CIF file:
```
data_TaVW3
_chemical_formula_sum 'Ta1 V1 W3'
_space_group_name_H-M_alt 'P 1'
_space_group_IT_number 1
_space_group_name_Hall 'P 1'
_cell_length_a 4.762
_cell_length_b 4.762
_cell_length_c 4.762
_cell_angle_alpha 90.00
_cell_angle_beta 90.00
_cell_angle_gamma 90.00
loop_
_atom_site_label
_atom_site_type_symbol
_atom_site_fract_x
_atom_site_fract_y
_atom_site_fract_z
Ta1 Ta 0.000 0.000 0.000
V1 V 0.500 0.500 0.500
W1 W 0.000 0.000 0.500
W2 W 0.000 0.500 0.000
W3 W 0.500 0.000 0.000
```

=====

Energies in kJ/mol of atoms, measured from the most stable structure: a 0.0; b 149.2; c 52.4; d 234.8.

=====

a:
A plane-wave DFT calculation with PBE-GGA was carried out for a relaxed structure of TaV2W6.

CIF file:
```
data_TaV2W6
_chemical_formula_sum 'Ta1 V2 W6'
_space_group_name_H-M_alt 'P 1'
_space_group_IT_number 1
_space_group_name_Hall 'P 1'
_cell_length_a 5.015
_cell_length_b 5.084
_cell_length_c 6.403
_cell_angle_alpha 66.67
_cell_angle_beta 78.40
_cell_angle_gamma 89.95
loop_
_atom_site_label
_atom_site_type_symbol
_atom_site_fract_x
_atom_site_fract_y
_atom_site_fract_z
Ta1 Ta 0.000 0.000 0.000
V1 V 0.159 0.816 0.371
V2 V 0.841 0.184 0.629
W1 W 0.058 0.609 0.782
W2 W 0.373 0.244 0.512
W3 W 0.500 0.256 0.000
W4 W 0.500 0.744 0.000
W5 W 0.627 0.756 0.488
W6 W 0.942 0.391 0.218
```

=====

b:
A plane-wave DFT calculation with PBE-GGA was carried out for a relaxed structure of TaV2W6.

CIF file:
```
data_TaV2W6
_chemical_formula_sum 'Ta1 V2 W6'
_space_group_name_H-M_alt 'P 1'
_space_group_IT_number 1
_space_group_name_Hall 'P 1'
_cell_length_a 2.773
_cell_length_b 2.773
_cell_length_c 22.180
_cell_angle_alpha 90.00
_cell_angle_beta 90.00
_cell_angle_gamma 120.00
loop_
_atom_site_label
_atom_site_type_symbol
_atom_site_fract_x
_atom_site_fract_y
_atom_site_fract_z
Ta1 Ta 0.000 0.000 0.000
V1 V 0.333 0.667 0.334
V2 V 0.333 0.667 0.666
W1 W 0.000 0.000 0.227
W2 W 0.000 0.000 0.441
W3 W 0.000 0.000 0.559
W4 W 0.000 0.000 0.773
W5 W 0.333 0.667 0.116
W6 W 0.333 0.667 0.884
```

=====

Energies in kJ/mol of atoms, measured from the most stable structure: a 0.0; b 21.8.